No. 1
The following is a DFT calculation (PBEsol) of a geometry-optimized KLuMo2O8 structure.

extended XYZ file:
```
48
Lattice="4.999 0.000 0.000 0.000 18.458 0.000 0.000 0.000 7.698" Properties=species:S:1:pos:R:3 pbc="T T T"
K 0.000 4.155 1.925
K 0.000 14.303 5.774
K 2.500 5.074 5.774
K 2.500 13.384 1.925
Lu 0.000 0.068 5.774
Lu 0.000 18.390 1.925
Lu 2.500 9.161 1.925
Lu 2.500 9.297 5.774
Mo 0.104 7.418 3.943
Mo 0.104 11.040 0.094
Mo 2.396 1.811 0.094
Mo 2.396 16.647 3.943
Mo 2.604 1.811 3.755
Mo 2.604 16.647 7.604
Mo 4.895 7.418 7.604
Mo 4.895 11.040 3.755
O 0.521 5.816 7.579
O 0.521 12.642 3.730
O 1.186 7.471 2.552
O 1.186 10.987 6.401
O 1.221 7.537 5.338
O 1.221 10.921 1.489
O 1.226 0.589 3.893
O 1.226 17.869 0.044
O 1.274 8.640 0.044
O 1.274 9.818 3.893
O 1.279 1.692 1.489
O 1.279 16.766 5.338
O 1.314 1.758 6.401
O 1.314 16.700 2.552
O 1.979 3.413 3.730
O 1.979 15.045 7.579
O 3.021 3.413 0.119
O 3.021 15.045 3.968
O 3.686 1.758 5.147
O 3.686 16.700 1.297
O 3.721 1.692 2.360
O 3.721 16.766 6.209
O 3.726 8.640 3.805
O 3.726 9.818 7.654
O 3.773 0.589 7.654
O 3.773 17.869 3.805
O 3.779 7.537 6.209
O 3.779 10.921 2.360
O 3.813 7.471 1.297
O 3.813 10.987 5.147
O 4.478 5.816 3.968
O 4.478 12.642 0.119
```

The value obtained for the density of states at the Fermi level is 0.0 states/eV per cell. For the uncorrected formation energy, the calculation gives -239 kJ per mole of atoms.

***

No. 2
The following is a DFT calculation (PBEsol) of a geometry-optimized YCI2 structure.

extended XYZ file:
```
8
Lattice="-2.971 2.971 6.600 2.971 -2.971 6.600 2.971 2.971 -6.600" Properties=species:S:1:pos:R:3 pbc="T T T"
Y 0.000 0.000 0.000
Y 0.000 2.971 3.300
C 2.971 0.000 3.300
C 0.000 0.000 6.600
I 1.486 -0.999 4.950
I 1.972 1.486 1.650
I 1.486 3.971 -1.650
I 0.999 1.486 8.250
```

The value obtained for the density of states at the Fermi level is 8.0 states/eV per cell. For the uncorrected formation energy, the calculation gives 103 kJ per mole of atoms.

***

No. 3
The following is a DFT calculation (PBEsol) of a geometry-optimized SrYSe3 structure.

extended XYZ file:
```
5
Lattice="5.422 0.000 0.000 0.000 5.422 0.000 0.000 0.000 5.422" Properties=species:S:1:pos:R:3 pbc="T T T"
Sr 0.000 0.000 0.000
Y 2.711 2.711 2.711
Se 0.000 0.000 2.711
Se 0.000 2.711 0.000
Se 2.711 0.000 0.000
```

The value obtained for the density of states at the Fermi level is 5.1 states/eV per cell. For the uncorrected formation energy, the calculation gives -40 kJ per mole of atoms.

***

No. 4
The following is a DFT calculation (PBEsol) of a geometry-optimized ZnInSb structure.

extended XYZ file:
```
3
Lattice="0.000 3.327 3.327 3.327 0.000 3.327 3.327 3.327 0.000" Properties=species:S:1:pos:R:3 pbc="T T T"
Zn 0.000 0.000 0.000
In 1.663 1.663 1.663
Sb 4.990 4.990 4.990
```

The value obtained for the density of states at the Fermi level is 0.2 states/eV per cell. For the uncorrected formation energy, the calculation gives 6 kJ per mole of atoms.